(1)
Compound: Cd7Ag16Au6
Source: Alexandria via LeMat-Bulk
Functional: PBE-GGA
Structure: optimized geometry Values from VASP.

Magnetic moment, μB per formula unit: 0.00
Energy of formation, eV per atom: 0.013
SG: Fm-3m (225)

```
&SYSTEM
  ibrav = 0, nat = 29, ntyp = 3
/
ATOMIC_SPECIES
Cd 112.41 Cd.upf
Ag 107.87 Ag.upf
Au 196.97 Au.upf
ATOMIC_POSITIONS angstrom
Cd 0.000 0.000 0.000
Cd 0.852 -8.015 0.588
Cd 4.058 -2.297 -0.161
Cd 4.685 -6.113 2.449
Cd 0.226 -4.199 -2.022
Cd 0.626 -3.816 2.611
Cd 4.284 -6.496 -2.184
Ag 7.930 -14.306 -1.709
Ag 8.518 -17.887 0.741
Ag 4.709 -15.732 0.892
Ag 8.306 -13.947 2.639
Ag 1.303 -2.737 0.113
Ag 1.891 -6.318 2.563
Ag 5.112 -4.892 -0.038
Ag 1.515 -6.677 -1.784
Ag 5.488 -9.123 -1.978
Ag 6.090 -12.788 0.530
Ag 2.191 -10.582 0.684
Ag 5.873 -8.755 2.472
Ag 3.731 -7.836 0.325
Ag 4.333 -11.502 2.832
Ag 7.630 -10.042 0.170
Ag 3.948 -11.869 -1.618
Au 6.559 -7.372 0.042
Au 3.262 -13.252 0.812
Au 2.618 -9.328 -1.872
Au 7.203 -11.296 2.726
Au 6.791 -11.689 -2.037
Au 3.030 -8.935 2.892
CELL_PARAMETERS angstrom
0.451 -8.398 -4.045
8.117 -4.594 -0.322
1.253 -7.633 5.221
```

(2)
Compound: Cd3Ag6Au
Source: Alexandria via LeMat-Bulk
Functional: PBE-GGA
Structure: optimized geometry Values from VASP.

Magnetic moment, μB per formula unit: 0.00
Energy of formation, eV per atom: 0.086
SG: R-3c (167)

```
&SYSTEM
  ibrav = 0, nat = 20, ntyp = 3
/
ATOMIC_SPECIES
Cd 112.41 Cd.upf
Ag 107.87 Ag.upf
Au 196.97 Au.upf
ATOMIC_POSITIONS angstrom
Cd 3.649 -3.649 -2.916
Cd -2.871 -4.361 2.805
Cd 3.793 0.992 4.446
Cd 6.528 -1.253 0.663
Cd -0.136 -6.606 -0.978
Cd 0.008 -1.966 6.384
Ag 6.081 -2.974 -1.661
Ag -2.098 -6.540 1.191
Ag 2.411 -0.304 6.533
Ag 1.670 -3.602 -0.762
Ag -0.477 -2.689 2.981
Ag 3.373 -0.720 2.111
Ag -2.425 -2.640 5.128
Ag 5.754 0.925 2.276
Ag 1.246 -5.310 -3.066
Ag 1.986 -2.013 4.230
Ag 4.134 -2.926 0.486
Ag 0.284 -4.895 1.357
Au 2.742 -4.211 2.601
Au 0.914 -1.404 0.867
CELL_PARAMETERS angstrom
0.060 -6.484 -5.091
7.660 2.596 1.597
-4.064 -1.726 6.962
```

(3)
Compound: Cd3Ag5Au3
Source: Alexandria via LeMat-Bulk
Functional: PBE-GGA
Structure: optimized geometry Values from VASP.

Magnetic moment, μB per formula unit: 0.00
Energy of formation, eV per atom: 0.199
SG: P-62m (189)

```
&SYSTEM
  ibrav = 0, nat = 11, ntyp = 3
/
ATOMIC_SPECIES
Cd 112.41 Cd.upf
Ag 107.87 Ag.upf
Au 196.97 Au.upf
ATOMIC_POSITIONS angstrom
Cd 3.190 -1.700 2.027
Cd 0.281 -4.185 0.351
Cd 2.959 2.458 1.708
Ag 2.827 0.573 4.570
Ag 1.056 -3.821 3.672
Ag 0.727 -0.977 3.349
Ag 2.772 3.450 4.413
Ag -0.889 -5.632 2.558
Au 2.980 -2.178 4.781
Au 0.714 1.740 3.225
Au -1.085 -2.721 2.314
CELL_PARAMETERS angstrom
-2.547 0.178 4.157
0.557 -8.305 0.696
5.872 4.878 3.389
```

(4)
Compound: CdAgAu5
Source: Alexandria via LeMat-Bulk
Functional: PBE-GGA
Structure: optimized geometry Values from VASP.

Magnetic moment, μB per formula unit: 0.00
Energy of formation, eV per atom: 0.344
SG: Imm2 (44)

```
&SYSTEM
  ibrav = 0, nat = 7, ntyp = 3
/
ATOMIC_SPECIES
Cd 112.41 Cd.upf
Ag 107.87 Ag.upf
Au 196.97 Au.upf
ATOMIC_POSITIONS angstrom
Cd 2.052 3.765 0.000
Ag 3.187 0.000 0.000
Au 1.333 0.000 2.219
Au 4.677 3.765 0.000
Au -1.338 3.765 2.543
Au 0.469 6.163 0.000
Au 0.469 1.367 0.000
CELL_PARAMETERS angstrom
5.342 0.000 0.000
0.000 7.530 0.000
-2.671 -3.765 4.762
```

Looking at uncorrected energy for the records above, in order, we have -2.46; -2.23; -2.24; -2.53 eV/atom.